# KYCoF6, relaxed, DFT PBE+U
data_KYCoF6
_chemical_formula_sum 'K4 Y4 Co4 F24'
_space_group_name_H-M_alt 'I m m a'
_space_group_IT_number 74
_space_group_name_Hall '-I 2b 2'
_cell_length_a 7.1971
_cell_length_b 7.5201
_cell_length_c 10.3446
_cell_angle_alpha 90.00
_cell_angle_beta 90.00
_cell_angle_gamma 90.00
loop_
_atom_site_label
_atom_site_type_symbol
_atom_site_fract_x
_atom_site_fract_y
_atom_site_fract_z
K1 K 0.0000 0.2500 0.0920
Y1 Y 0.0000 0.0000 0.5000
Co1 Co 0.2500 0.2500 0.7500
F1 F 0.0000 0.2500 0.3845
F2 F 0.0000 0.2500 0.6482
F3 F 0.2300 0.0512 0.8831
# N(E_F) = 0.00 states/eV per cell
# VASP energy = -0.212 Ha/atom